(1)
Entry from Alexandria: a relaxed HoFeRu2 crystal (PBE-GGA).

Properties
Total energy: -31.5 eV/cell
Space group: P4/mmm (123)
Calculated formation energy: 0.03 eV/atom

Geometry as POSCAR:
```
HoFeRu2
1.0
-3.072 -0.556 -0.523
0.227 -2.738 1.574
-1.501 3.066 5.551
Ru Ho Fe
2 1 1
direct
0.000 0.000 0.789
0.000 0.000 0.211
0.500 0.500 0.500
0.500 0.500 0.000
```

---

(2)
Entry from Alexandria: a relaxed SbOs2Se crystal (PBE-GGA).

Properties
Total energy: -28.0 eV/cell
Space group: Pmm2 (25)
Raw formation energy: 0.52 eV per atom

Geometry as POSCAR:
```
SbOs2Se
1.0
3.041 0.000 0.000
0.000 3.988 0.000
0.000 0.000 5.735
Os Sb Se
2 1 1
direct
0.000 0.000 0.961
0.500 0.500 0.251
0.000 0.000 0.455
0.500 0.500 0.833
```

---

(3)
Entry from Alexandria: a relaxed EuY2Fe crystal (PBE-GGA).

Properties
Total energy: -31.3 eV/cell
Space group: P4/mmm (123)
Calculated formation energy: 0.09 eV/atom

Geometry as POSCAR:
```
EuY2Fe
1.0
-2.732 1.478 1.556
-0.450 -2.857 1.924
5.594 3.496 6.500
Eu Y Fe
1 2 1
direct
0.500 0.500 0.500
0.000 0.000 0.826
0.000 0.000 0.174
0.500 0.500 0.000
```

---

(4)
Entry from Alexandria: a relaxed SmGdOsPt crystal (PBE-GGA).

Properties
Total energy: -38.2 eV/cell
Space group: F-43m (216)
Calculated formation energy: -0.54 eV/atom

Geometry as POSCAR:
```
SmGdOsPt
1.0
-4.249 1.475 2.060
-3.308 -3.352 1.515
-0.777 -0.698 4.836
Gd Os Sm Pt
1 1 1 1
direct
0.000 0.000 0.000
0.250 0.250 0.250
0.500 0.500 0.500
0.750 0.750 0.750
```

---

(5)
Entry from Alexandria: a relaxed CoTe2Se crystal (PBE-GGA).

Properties
Total energy: -16.2 eV/cell
Space group: P4mm (99)
Raw formation energy: 0.16 eV per atom

Geometry as POSCAR:
```
CoTe2Se
1.0
3.021 0.000 0.000
0.000 3.022 0.000
0.000 0.000 11.059
Co Se Te
1 1 2
direct
0.000 0.000 0.538
0.500 0.500 0.645
0.000 0.000 0.981
0.500 0.500 0.336
```

---

(6)
Entry from Alexandria: a relaxed GeBRhCl2 crystal (PBE-GGA).

Properties
Total energy: -18.7 eV/cell
Space group: P4/mmm (123)
Raw formation energy: 0.72 eV per atom

Geometry as POSCAR:
```
GeBRhCl2
1.0
-3.035 3.180 0.764
-0.903 0.142 -4.177
-3.132 -3.126 0.571
Ge B Rh Cl
1 1 1 2
direct
0.500 0.500 0.500
0.000 0.000 0.000
0.000 0.500 0.000
0.000 0.000 0.500
0.500 0.000 0.000
```

---

(7)
Entry from Alexandria: a relaxed Mg4ZnRh2 crystal (PBE-GGA).

Properties
Total energy: -23.8 eV/cell
Space group: C2/m (12)
Calculated formation energy: -0.21 eV/atom

Geometry as POSCAR:
```
Mg4ZnRh2
1.0
-1.123 -0.116 2.827
1.341 -6.801 0.254
5.365 4.307 0.669
Mg Zn Rh
4 1 2
direct
0.896 0.267 0.792
0.104 0.733 0.208
0.644 0.386 0.289
0.356 0.614 0.711
0.000 0.000 0.000
0.784 0.842 0.568
0.216 0.158 0.432
```

---

(8)
Entry from Alexandria: a relaxed CrSbMo2 crystal (PBE-GGA).

Properties
Total energy: -34.1 eV/cell
Space group: Pmm2 (25)
Raw formation energy: 0.34 eV per atom

Geometry as POSCAR:
```
CrSbMo2
1.0
3.063 0.000 0.000
0.000 4.007 0.000
0.000 0.000 5.484
Cr Mo Sb
1 2 1
direct
0.500 0.500 0.797
0.000 0.000 0.992
0.500 0.500 0.208
0.000 0.000 0.502
```